Entry 1:
The following is a PBE+U calculation of a geometry-optimized Mg2Cu2MoO6 structure, from Alexandria.

Summary:
The volume comes out at 143.5 Å³/f.u. The value obtained for the uncorrected energy is -5.78 eV/atom. The calculation puts the total moment at 0.002 μB per cell. As for the space group: No. 147.

Cell: 5.402 5.402 5.677 Å, 90.00 90.00 120.00°
Positions (direct):
Mg  0.333  0.667  0.280
Mg  0.667  0.333  0.720
Cu  0.333  0.667  0.768
Cu  0.667  0.333  0.232
Mo  0.000  0.000  0.000
O  0.298  0.295  0.797
O  0.996  0.702  0.797
O  0.705  0.004  0.797
O  0.702  0.705  0.203
O  0.004  0.298  0.203
O  0.295  0.996  0.203


Entry 2:
The following is a PBE+U calculation of a geometry-optimized MgCuMo2O8 structure, from Alexandria.

Summary:
The density of states at the Fermi level comes out at 1.41 states/eV per cell. The volume comes out at 156.1 Å³/f.u. The value obtained for the uncorrected energy is -6.46 eV/atom. The calculation puts the total moment at 1.022 μB per cell. As for the space group: No. 119.

Cell: 5.879 5.879 5.879 Å, 110.98 110.98 106.49°
Each line ends with the local moment (μB).
Positions (direct):
Mg  0.250  0.750  0.500  0.00
Cu  0.000  0.000  0.000  0.64
Mo  0.750  0.250  0.500  0.04
Mo  0.500  0.500  0.000  0.00
O  0.379  0.096  0.283  0.07
O  0.352  0.571  0.219  0.01
O  0.352  0.133  0.781  0.01
O  0.814  0.096  0.717  0.07
O  0.867  0.648  0.219  0.01
O  0.904  0.186  0.283  0.07
O  0.904  0.621  0.717  0.07
O  0.429  0.648  0.781  0.01